# 1
First-principles (GGA-PBE) data for a relaxed LaGaW2 crystal, as listed in Alexandria.

a = 6.240 Å, b = 6.240 Å, c = 6.240 Å
α = 100.99°, β = 100.99°, γ = 128.22°
Atoms (fractional coordinates):
La 0.000 0.000 0.000
La 0.750 0.250 0.500
Ga 0.250 0.750 0.500
Ga 0.500 0.500 0.000
W 0.186 0.625 0.061
W 0.375 0.436 0.561
W 0.564 0.125 0.939
W 0.875 0.814 0.439

- crystal system = tetragonal
- symmetry = No. 122
- ρ (g cm⁻³) = 11.14
- electronic total energy (eV/cell) = -59.932
- ΔE_f (eV per atom) = 0.97

---

# 2
First-principles (GGA-PBE) data for a relaxed Er8SnTe4As3 crystal, as listed in Alexandria.

a = 8.551 Å, b = 8.551 Å, c = 8.551 Å
α = 59.15°, β = 59.15°, γ = 59.15°
Atoms (fractional coordinates):
Er 0.233 0.745 0.745
Er 0.239 0.239 0.239
Er 0.255 0.255 0.767
Er 0.255 0.767 0.255
Er 0.745 0.233 0.745
Er 0.745 0.745 0.233
Er 0.761 0.761 0.761
Er 0.767 0.255 0.255
Sn 0.500 0.500 0.500
Te 0.000 0.000 0.000
Te 0.000 0.500 0.500
Te 0.500 0.000 0.500
Te 0.500 0.500 0.000
As 0.000 0.000 0.500
As 0.000 0.500 0.000
As 0.500 0.000 0.000

- crystal system = trigonal
- symmetry = No. 166
- ρ (g cm⁻³) = 8.40
- electronic total energy (eV/cell) = -88.369

---

# 3
First-principles (GGA-PBE) data for a relaxed Pm2TlAu crystal, as listed in Alexandria.

a = 8.901 Å, b = 8.901 Å, c = 8.901 Å
α = 26.40°, β = 26.40°, γ = 26.40°
Atoms (fractional coordinates):
Pm 0.000 0.000 0.000
Pm 0.188 0.188 0.188
Tl 0.427 0.427 0.427
Au 0.594 0.594 0.594

- crystal system = trigonal
- symmetry = No. 160
- ρ (g cm⁻³) = 9.34
- electronic total energy (eV/cell) = -16.802
- ΔE_f (eV per atom) = -0.41

---

# 4
First-principles (GGA-PBE) data for a relaxed Ti2TlOs crystal, as listed in Alexandria.

a = 4.590 Å, b = 4.590 Å, c = 4.590 Å
α = 60.00°, β = 60.00°, γ = 60.00°
Atoms (fractional coordinates):
Ti 0.250 0.250 0.250
Ti 0.750 0.750 0.750
Tl 0.000 0.000 0.000
Os 0.500 0.500 0.500

- crystal system = cubic
- symmetry = No. 225
- ρ (g cm⁻³) = 11.91
- electronic total energy (eV/cell) = -29.266
- distance to the lowest polymorph of the same formula (eV per atom) = 0.254
- ΔE_f (eV per atom) = 0.03

---

# 5
First-principles (GGA-PBE) data for a relaxed LaCO3 crystal, as listed in Alexandria.

a = 4.249 Å, b = 5.058 Å, c = 7.804 Å
α = 106.70°, β = 92.84°, γ = 96.24°
Atoms (fractional coordinates):
La 0.230 0.477 0.306
La 0.770 0.523 0.694
C 0.303 0.061 0.842
C 0.697 0.939 0.158
O 0.203 0.266 0.944
O 0.241 0.406 0.583
O 0.446 0.969 0.236
O 0.554 0.031 0.764
O 0.759 0.594 0.417
O 0.797 0.734 0.056

- crystal system = triclinic
- symmetry = No. 2
- ρ (g cm⁻³) = 4.15
- electronic total energy (eV/cell) = -77.928

---

# 6
First-principles (GGA-PBE) data for a relaxed CrNi crystal, as listed in Alexandria.

a = 8.616 Å, b = 4.042 Å, c = 5.135 Å
α = 90.00°, β = 90.00°, γ = 90.00°
Atoms (fractional coordinates):
Cr 0.084 0.250 0.011
Cr 0.160 0.750 0.752
Cr 0.340 0.250 0.252
Cr 0.416 0.750 0.511
Cr 0.584 0.250 0.489
Cr 0.660 0.750 0.748
Cr 0.840 0.250 0.248
Cr 0.916 0.750 0.989
Ni 0.087 0.250 0.506
Ni 0.165 0.750 0.260
Ni 0.335 0.250 0.760
Ni 0.413 0.750 0.006
Ni 0.587 0.250 0.994
Ni 0.665 0.750 0.240
Ni 0.835 0.250 0.740
Ni 0.913 0.750 0.494

- crystal system = orthorhombic
- symmetry = No. 62
- ρ (g cm⁻³) = 8.22
- electronic total energy (eV/cell) = -121.929
- ΔE_f (eV per atom) = 0.08

---

# 7
First-principles (GGA-PBE) data for a relaxed KCo2Tc crystal, as listed in Alexandria.

a = 9.794 Å, b = 9.794 Å, c = 9.794 Å
α = 16.09°, β = 16.09°, γ = 16.09°
Atoms (fractional coordinates):
K 0.000 0.000 0.000
Co 0.236 0.236 0.236
Co 0.764 0.764 0.764
Tc 0.500 0.500 0.500

- crystal system = trigonal
- symmetry = No. 166
- ρ (g cm⁻³) = 6.73
- electronic total energy (eV/cell) = -22.333
- distance to the lowest polymorph of the same formula (eV per atom) = 0.148
- ΔE_f (eV per atom) = 0.84

---

# 8
First-principles (GGA-PBE) data for a relaxed Be2SbRu crystal, as listed in Alexandria.

a = 5.470 Å, b = 5.470 Å, c = 5.470 Å
α = 103.31°, β = 103.31°, γ = 122.66°
Atoms (fractional coordinates):
Be 0.079 0.625 0.954
Be 0.375 0.329 0.454
Be 0.671 0.125 0.046
Be 0.875 0.921 0.546
Sb 0.250 0.750 0.500
Sb 0.500 0.500 0.000
Ru 0.000 0.000 0.000
Ru 0.750 0.250 0.500

- crystal system = tetragonal
- symmetry = No. 122
- ρ (g cm⁻³) = 6.62
- electronic total energy (eV/cell) = -36.892

---

# 9
First-principles (GGA-PBE) data for a relaxed SrZn3Rh2 crystal, as listed in Alexandria.

a = 6.324 Å, b = 6.324 Å, c = 5.829 Å
α = 90.00°, β = 90.00°, γ = 78.89°
Atoms (fractional coordinates):
Sr 0.158 0.842 0.750
Sr 0.842 0.158 0.250
Zn 0.037 0.575 0.250
Zn 0.425 0.963 0.250
Zn 0.454 0.546 0.250
Zn 0.546 0.454 0.750
Zn 0.575 0.037 0.750
Zn 0.963 0.425 0.750
Rh 0.288 0.288 0.000
Rh 0.288 0.288 0.500
Rh 0.712 0.712 0.000
Rh 0.712 0.712 0.500

- crystal system = orthorhombic
- symmetry = No. 63
- ρ (g cm⁻³) = 7.11
- electronic total energy (eV/cell) = -45.426
- ΔE_f (eV per atom) = -0.42

---

# 10
First-principles (GGA-PBE) data for a relaxed CrCuSe2 crystal, as listed in Alexandria.

a = 4.552 Å, b = 4.552 Å, c = 4.552 Å
α = 60.00°, β = 60.00°, γ = 60.00°
Atoms (fractional coordinates):
Cr 0.000 0.000 0.000
Cu 0.500 0.500 0.500
Se 0.250 0.250 0.250
Se 0.750 0.750 0.750

- crystal system = cubic
- symmetry = No. 225
- ρ (g cm⁻³) = 6.81
- electronic total energy (eV/cell) = -20.311
- distance to the lowest polymorph of the same formula (eV per atom) = 0.464

---

# 11
First-principles (GGA-PBE) data for a relaxed BaMg4Pt2 crystal, as listed in Alexandria.

a = 8.429 Å, b = 8.429 Å, c = 4.452 Å
α = 90.00°, β = 90.00°, γ = 90.00°
Atoms (fractional coordinates):
Ba 0.000 0.000 0.000
Ba 0.500 0.500 0.500
Mg 0.089 0.337 0.500
Mg 0.163 0.589 0.000
Mg 0.337 0.089 0.500
Mg 0.411 0.837 0.000
Mg 0.589 0.163 0.000
Mg 0.663 0.911 0.500
Mg 0.837 0.411 0.000
Mg 0.911 0.663 0.500
Pt 0.226 0.774 0.500
Pt 0.274 0.274 0.000
Pt 0.726 0.726 0.000
Pt 0.774 0.226 0.500

- crystal system = tetragonal
- symmetry = No. 136
- ρ (g cm⁻³) = 6.56
- electronic total energy (eV/cell) = -49.637
- ΔE_f (eV per atom) = -0.63

---

# 12
First-principles (GGA-PBE) data for a relaxed BaLa2Tl crystal, as listed in Alexandria.

a = 4.001 Å, b = 4.001 Å, c = 9.737 Å
α = 90.00°, β = 90.00°, γ = 90.00°
Atoms (fractional coordinates):
Ba 0.000 0.000 0.000
La 0.000 0.000 0.560
La 0.500 0.500 0.327
Tl 0.500 0.500 0.755

- crystal system = tetragonal
- symmetry = No. 99
- ρ (g cm⁻³) = 6.60
- electronic total energy (eV/cell) = -14.734
- distance to the lowest polymorph of the same formula (eV per atom) = 0.000
- ΔE_f (eV per atom) = -0.15

---

# 13
First-principles (GGA-PBE) data for a relaxed ScCdOs crystal, as listed in Alexandria.

a = 4.687 Å, b = 4.687 Å, c = 2.819 Å
α = 90.00°, β = 90.00°, γ = 120.00°
Atoms (fractional coordinates):
Sc 0.000 0.000 0.000
Cd 0.667 0.333 0.385
Os 0.333 0.667 0.702

- crystal system = trigonal
- symmetry = No. 156
- ρ (g cm⁻³) = 10.76
- electronic total energy (eV/cell) = -18.258
- distance to the lowest polymorph of the same formula (eV per atom) = 0.096
- ΔE_f (eV per atom) = 0.07

---

# 14
First-principles (GGA-PBE) data for a relaxed CsHgI2 crystal, as listed in Alexandria.

a = 6.243 Å, b = 6.243 Å, c = 6.243 Å
α = 60.00°, β = 60.00°, γ = 60.00°
Atoms (fractional coordinates):
Cs 0.000 0.000 0.000
Hg 0.500 0.500 0.500
I 0.250 0.250 0.250
I 0.750 0.750 0.750

- crystal system = cubic
- symmetry = No. 225
- ρ (g cm⁻³) = 5.67
- electronic total energy (eV/cell) = -6.775
- distance to the lowest polymorph of the same formula (eV per atom) = 0.220

---

# 15
First-principles (GGA-PBE) data for a relaxed YTaBr3 crystal, as listed in Alexandria.

a = 5.157 Å, b = 5.157 Å, c = 5.157 Å
α = 90.00°, β = 90.00°, γ = 90.00°
Atoms (fractional coordinates):
Y 0.000 0.000 0.000
Ta 0.500 0.500 0.500
Br 0.000 0.500 0.500
Br 0.500 0.000 0.500
Br 0.500 0.500 0.000

- crystal system = cubic
- symmetry = No. 221
- ρ (g cm⁻³) = 6.17
- electronic total energy (eV/cell) = -22.422
- distance to the lowest polymorph of the same formula (eV per atom) = 0.034

---

# 16
First-principles (GGA-PBE) data for a relaxed ZrTiTcHg2 crystal, as listed in Alexandria.

a = 5.363 Å, b = 5.363 Å, c = 4.625 Å
α = 90.00°, β = 90.00°, γ = 90.00°
Atoms (fractional coordinates):
Zr 0.000 0.000 0.000
Ti 0.500 0.500 0.500
Tc 0.000 0.000 0.500
Hg 0.000 0.500 0.000
Hg 0.500 0.000 0.000

- crystal system = tetragonal
- symmetry = No. 123
- ρ (g cm⁻³) = 7.97
- electronic total energy (eV/cell) = -20.669
- ΔE_f (eV per atom) = 1.35

---

# 17
First-principles (GGA-PBE) data for a relaxed CrCoCu crystal, as listed in Alexandria.

a = 4.341 Å, b = 4.341 Å, c = 4.341 Å
α = 146.30°, β = 131.74°, γ = 60.15°
Atoms (fractional coordinates):
Cr 0.000 0.000 0.000
Co 0.342 0.342 0.000
Cu 0.672 0.672 0.000

- crystal system = orthorhombic
- symmetry = No. 44
- ρ (g cm⁻³) = 8.63
- electronic total energy (eV/cell) = -20.280
- distance to the lowest polymorph of the same formula (eV per atom) = 0.000
- ΔE_f (eV per atom) = 0.18

---

# 18
First-principles (GGA-PBE) data for a relaxed TaP2Pt crystal, as listed in Alexandria.

a = 4.607 Å, b = 4.607 Å, c = 5.009 Å
α = 96.15°, β = 96.15°, γ = 39.32°
Atoms (fractional coordinates):
Ta 0.000 0.000 0.000
P 0.289 0.289 0.169
P 0.711 0.711 0.831
Pt 0.500 0.500 0.500

- crystal system = monoclinic
- symmetry = No. 12
- ρ (g cm⁻³) = 10.87
- electronic total energy (eV/cell) = -29.761
- distance to the lowest polymorph of the same formula (eV per atom) = 0.271
- ΔE_f (eV per atom) = -0.26

---

# 19
First-principles (GGA-PBE) data for a relaxed HfTl2GaF6 crystal, as listed in Alexandria.

a = 6.374 Å, b = 8.102 Å, c = 8.341 Å
α = 90.00°, β = 90.00°, γ = 90.00°
Atoms (fractional coordinates):
Hf 0.250 0.250 0.099
Hf 0.750 0.750 0.901
Tl 0.250 0.526 0.535
Tl 0.250 0.974 0.535
Tl 0.750 0.026 0.465
Tl 0.750 0.474 0.465
Ga 0.250 0.750 0.215
Ga 0.750 0.250 0.785
F 0.026 0.250 0.265
F 0.032 0.250 0.920
F 0.250 0.002 0.106
F 0.250 0.498 0.106
F 0.468 0.250 0.920
F 0.474 0.250 0.265
F 0.526 0.750 0.735
F 0.532 0.750 0.080
F 0.750 0.502 0.894
F 0.750 0.998 0.894
F 0.968 0.750 0.080
F 0.974 0.750 0.735

- crystal system = orthorhombic
- symmetry = No. 59
- ρ (g cm⁻³) = 5.94
- electronic total energy (eV/cell) = -108.833

---

# 20
First-principles (GGA-PBE) data for a relaxed KSr2CuBi crystal, as listed in Alexandria.

a = 6.562 Å, b = 6.562 Å, c = 5.337 Å
α = 90.00°, β = 90.00°, γ = 90.00°
Atoms (fractional coordinates):
K 0.000 0.000 0.000
Sr 0.000 0.500 0.500
Sr 0.500 0.000 0.500
Cu 0.500 0.500 0.000
Bi 0.500 0.500 0.500

- crystal system = tetragonal
- symmetry = No. 123
- ρ (g cm⁻³) = 3.52
- electronic total energy (eV/cell) = -12.288
- ΔE_f (eV per atom) = 0.03

---

| no. | spin magnetization (μB per atom) |
| --- | --- |
| 1 | 0.000 |
| 2 | 0.000 |
| 3 | 0.000 |
| 4 | 0.000 |
| 5 | 0.200 |
| 6 | 0.000 |
| 7 | 0.643 |
| 8 | 0.143 |
| 9 | 0.000 |
| 10 | 0.744 |
| 11 | 0.000 |
| 12 | 0.000 |
| 13 | 0.000 |
| 14 | 0.000 |
| 15 | 0.548 |
| 16 | 0.002 |
| 17 | 0.000 |
| 18 | 0.000 |
| 19 | 0.000 |
| 20 | 0.000 |